DFT (PBE-GGA) results for a relaxed Rb2AgPbCl5 crystal.

Properties
For the formation energy (no corrections), the calculation gives -1.37 eV per atom. As for the volume: 571 Å³/cell.

Unit cell a=9.666 b=9.666 c=13.791 alpha=90.00 beta=90.00 gamma=153.71
Sites, in units of the cell vectors:
Rb 0.109 0.891 0.500
Rb 0.127 0.873 0.115
Rb 0.873 0.127 0.615
Rb 0.891 0.109 0.000
Ag 0.483 0.517 0.276
Ag 0.517 0.483 0.776
Pb 0.208 0.792 0.819
Pb 0.792 0.208 0.319
Cl 0.051 0.949 0.862
Cl 0.286 0.714 0.461
Cl 0.301 0.699 0.178
Cl 0.360 0.640 0.812
Cl 0.499 0.501 0.595
Cl 0.501 0.499 0.095
Cl 0.640 0.360 0.312
Cl 0.699 0.301 0.678
Cl 0.714 0.286 0.961
Cl 0.949 0.051 0.362

DFT (PBE-GGA) results for a relaxed RbAgPbCl4 crystal.

Properties
For the formation energy (no corrections), the calculation gives -1.16 eV per atom. As for the volume: 455 Å³/cell.

Unit cell a=7.212 b=7.352 c=9.033 alpha=90.00 beta=108.08 gamma=90.00
Sites, in units of the cell vectors:
Rb 0.241 0.250 0.052
Rb 0.759 0.750 0.948
Ag 0.236 0.750 0.323
Ag 0.764 0.250 0.677
Pb 0.210 0.250 0.549
Pb 0.790 0.750 0.451
Cl 0.017 0.510 0.719
Cl 0.017 0.990 0.719
Cl 0.474 0.750 0.160
Cl 0.497 0.750 0.596
Cl 0.503 0.250 0.404
Cl 0.526 0.250 0.840
Cl 0.983 0.010 0.281
Cl 0.983 0.490 0.281

DFT (PBE-GGA) results for a relaxed Rb3AgPb2Cl9 crystal.

Properties
For the formation energy (no corrections), the calculation gives -1.32 eV per atom. As for the volume: 497 Å³/cell.

Unit cell a=7.748 b=7.748 c=9.565 alpha=90.00 beta=90.00 gamma=120.00
Sites, in units of the cell vectors:
Rb 0.000 0.000 0.000
Rb 0.333 0.667 0.650
Rb 0.667 0.333 0.350
Ag 0.000 0.000 0.500
Pb 0.333 0.667 0.181
Pb 0.667 0.333 0.819
Cl 0.000 0.500 0.000
Cl 0.162 0.324 0.342
Cl 0.162 0.838 0.342
Cl 0.324 0.162 0.658
Cl 0.500 0.000 0.000
Cl 0.500 0.500 0.000
Cl 0.676 0.838 0.342
Cl 0.838 0.162 0.658
Cl 0.838 0.676 0.658

DFT (PBE-GGA) results for a relaxed AgRhPbCl6 crystal.

Properties
For the formation energy (no corrections), the calculation gives -0.71 eV per atom. As for the volume: 461 Å³/cell.

Unit cell a=6.847 b=6.847 c=11.357 alpha=90.00 beta=90.00 gamma=120.00
Sites, in units of the cell vectors:
Ag 0.000 0.000 0.000
Ag 0.000 0.000 0.500
Rh 0.333 0.667 0.250
Rh 0.667 0.333 0.750
Pb 0.333 0.667 0.750
Pb 0.667 0.333 0.250
Cl 0.057 0.380 0.126
Cl 0.057 0.677 0.374
Cl 0.323 0.380 0.374
Cl 0.323 0.943 0.126
Cl 0.380 0.057 0.626
Cl 0.380 0.323 0.874
Cl 0.620 0.677 0.126
Cl 0.620 0.943 0.374
Cl 0.677 0.057 0.874
Cl 0.677 0.620 0.626
Cl 0.943 0.323 0.626
Cl 0.943 0.620 0.874

no.,total magnetic moment (μB per formula unit)
1,0.000
2,0.000
3,0.000
4,0.000